--- i ---
## K2BeIn2 (GGA-PBE)

Data for a geometry-optimized K2BeIn2 structure.

abc: 8.845 8.845 8.845
angles: 150.28 150.28 42.53
Atoms (fractional coordinates):
K 0.250 0.750 0.500
K 0.750 0.250 0.500
Be 0.000 0.000 0.000
In 0.415 0.415 0.000
In 0.585 0.585 0.000

The density of states at the Fermi level is 2.6 states/eV/f.u. The space-group type is I4/mmm (139).

--- ii ---
## K2BeIn2 (GGA-PBE)

Data for a geometry-optimized K2BeIn2 structure.

abc: 7.028 7.028 6.171
angles: 90.00 90.00 90.00
Atoms (fractional coordinates):
K 0.177 0.323 0.000
K 0.323 0.823 0.000
K 0.677 0.177 0.000
K 0.823 0.677 0.000
Be 0.000 0.000 0.500
Be 0.500 0.500 0.500
In 0.157 0.657 0.500
In 0.343 0.157 0.500
In 0.657 0.843 0.500
In 0.843 0.343 0.500

The density of states at the Fermi level is 3.5 states/eV/f.u. The space-group type is P4/mbm (127).

Which is most stable? The ranking, best first, is ii, i.

--- i ---
## K2BeIn (GGA-PBE)

Data for a geometry-optimized K2BeIn structure.

abc: 6.502 6.502 6.502
angles: 138.14 122.48 73.63
Atoms (fractional coordinates):
K 0.000 0.000 0.000
K 0.682 0.182 0.500
Be 0.341 0.841 0.500
In 0.373 0.373 0.000

The density of states at the Fermi level is 2.5 states/eV/f.u. The space-group type is Imm2 (44).

--- ii ---
## K2BeIn (GGA-PBE)

Data for a geometry-optimized K2BeIn structure.

abc: 3.638 3.638 10.367
angles: 90.00 90.00 90.20
Atoms (fractional coordinates):
K 0.000 0.000 0.225
K 0.000 0.000 0.775
Be 0.500 0.500 0.000
In 0.500 0.500 0.500

The density of states at the Fermi level is 3.3 states/eV/f.u. The space-group type is Cmmm (65).

Which is most stable? The ranking, best first, is i, ii.

--- i ---
## La2BeIn (GGA-PBE)

Data for a geometry-optimized La2BeIn structure.

abc: 8.167 8.167 7.768
angles: 115.28 115.28 28.20
Atoms (fractional coordinates):
La 0.116 0.116 0.106
La 0.159 0.159 0.617
La 0.841 0.841 0.383
La 0.884 0.884 0.894
Be 0.286 0.286 0.052
Be 0.714 0.714 0.948
In 0.485 0.485 0.281
In 0.515 0.515 0.719

The density of states at the Fermi level is 4.1 states/eV/f.u. The space-group type is C2/m (12).

--- ii ---
## La2BeIn (GGA-PBE)

Data for a geometry-optimized La2BeIn structure.

abc: 9.861 9.861 9.861
angles: 21.89 21.89 21.89
Atoms (fractional coordinates):
La 0.237 0.237 0.237
La 0.763 0.763 0.763
Be 0.500 0.500 0.500
In 0.000 0.000 0.000

The density of states at the Fermi level is 4.3 states/eV/f.u. The space-group type is R-3m (166).

--- iii ---
## La2BeIn (GGA-PBE)

Data for a geometry-optimized La2BeIn structure.

abc: 6.761 6.761 6.761
angles: 101.94 101.94 125.88
Atoms (fractional coordinates):
La 0.073 0.625 0.948
La 0.375 0.323 0.448
La 0.677 0.125 0.052
La 0.875 0.927 0.552
Be 0.000 0.000 0.000
Be 0.750 0.250 0.500
In 0.250 0.750 0.500
In 0.500 0.500 0.000

The density of states at the Fermi level is 5.2 states/eV/f.u. The space-group type is I-42d (122).

Which is most stable? The ranking, best first, is i, ii, iii.

--- i ---
## LaBeIn (GGA-PBE)

Data for a geometry-optimized LaBeIn structure.

abc: 6.489 6.489 6.489
angles: 149.92 149.92 43.06
Atoms (fractional coordinates):
La 0.000 0.000 0.000
Be 0.333 0.333 0.000
In 0.715 0.715 0.000

The density of states at the Fermi level is 1.6 states/eV/f.u. The space-group type is I4mm (107).

--- ii ---
## LaBeIn (GGA-PBE)

Data for a geometry-optimized LaBeIn structure.

abc: 4.340 4.340 7.563
angles: 90.00 90.00 90.00
Atoms (fractional coordinates):
La 0.250 0.250 0.156
La 0.750 0.750 0.844
Be 0.250 0.250 0.718
Be 0.750 0.750 0.282
In 0.250 0.750 0.500
In 0.750 0.250 0.500

The density of states at the Fermi level is 2.7 states/eV/f.u. The space-group type is P4/nmm (129).

Which is most stable? The ranking, best first, is ii, i.

--- i ---
## LaBeIn (GGA-PBE)

Data for a geometry-optimized LaBeIn structure.

abc: 8.400 8.400 4.110
angles: 104.15 104.15 31.34
Atoms (fractional coordinates):
La 0.000 0.000 0.000
La 0.230 0.230 0.228
Be 0.376 0.376 0.875
Be 0.430 0.430 0.428
In 0.604 0.604 0.603
In 0.801 0.801 0.798

The density of states at the Fermi level is 2.0 states/eV/f.u. The space-group type is Cm (8).

--- ii ---
## LaBeIn (GGA-PBE)

Data for a geometry-optimized LaBeIn structure.

abc: 4.901 4.901 4.901
angles: 60.00 60.00 60.00
Atoms (fractional coordinates):
La 0.000 0.000 0.000
Be 0.500 0.500 0.500
In 0.250 0.250 0.250

The density of states at the Fermi level is 0.0 states/eV/f.u. The space-group type is F-43m (216).

--- iii ---
## LaBeIn (GGA-PBE)

Data for a geometry-optimized LaBeIn structure.

abc: 5.214 5.214 6.464
angles: 90.00 90.00 120.00
Atoms (fractional coordinates):
La 0.333 0.667 0.250
La 0.667 0.333 0.750
Be 0.000 0.000 0.000
Be 0.000 0.000 0.500
In 0.333 0.667 0.750
In 0.667 0.333 0.250

The density of states at the Fermi level is 0.8 states/eV/f.u. The space-group type is P6_3/mmc (194).

Which is most stable? The ranking, best first, is i, ii, iii.

--- i ---
## LaBeIn (GGA-PBE)

Data for a geometry-optimized LaBeIn structure.

abc: 4.351 4.351 4.540
angles: 90.00 90.00 120.00
Atoms (fractional coordinates):
La 0.000 0.000 0.000
Be 0.667 0.333 0.500
In 0.333 0.667 0.500

The density of states at the Fermi level is 3.0 states/eV/f.u. The space-group type is P-6m2 (187).

--- ii ---
## LaBeIn (GGA-PBE)

Data for a geometry-optimized LaBeIn structure.

abc: 6.065 4.212 11.863
angles: 90.00 90.00 90.00
Atoms (fractional coordinates):
La 0.145 0.250 0.157
La 0.355 0.750 0.657
La 0.645 0.250 0.343
La 0.855 0.750 0.843
Be 0.063 0.750 0.350
Be 0.437 0.250 0.850
Be 0.563 0.750 0.150
Be 0.937 0.250 0.650
In 0.163 0.250 0.458
In 0.337 0.750 0.958
In 0.663 0.250 0.042
In 0.837 0.750 0.542

The density of states at the Fermi level is 1.6 states/eV/f.u. The space-group type is Pnma (62).

Which is most stable? The ranking, best first, is i, ii.